[1]
# ErCo5Si3

Crystalline ErCo5Si3 at its relaxed geometry (PBE-GGA, OQMD).

Lattice parameters (Å, degrees): 14.629 14.629 3.676 90.00 90.00 120.00
Positions (direct):
Er  0.101  0.707  0.250
Er  0.293  0.394  0.250
Er  0.394  0.101  0.750
Er  0.606  0.899  0.250
Er  0.707  0.606  0.750
Er  0.899  0.293  0.750
Co  0.029  0.901  0.250
Co  0.049  0.267  0.250
Co  0.074  0.534  0.750
Co  0.099  0.128  0.250
Co  0.128  0.029  0.750
Co  0.148  0.412  0.750
Co  0.218  0.951  0.250
Co  0.225  0.572  0.250
Co  0.265  0.852  0.750
Co  0.267  0.218  0.750
Co  0.347  0.775  0.250
Co  0.412  0.265  0.250
Co  0.428  0.653  0.250
Co  0.460  0.926  0.750
Co  0.466  0.540  0.750
Co  0.534  0.460  0.250
Co  0.540  0.074  0.250
Co  0.572  0.347  0.750
Co  0.588  0.735  0.750
Co  0.653  0.225  0.750
Co  0.733  0.782  0.250
Co  0.735  0.148  0.250
Co  0.775  0.428  0.750
Co  0.782  0.049  0.750
Co  0.852  0.588  0.250
Co  0.872  0.971  0.250
Co  0.901  0.872  0.750
Co  0.926  0.466  0.250
Co  0.951  0.733  0.750
Co  0.971  0.099  0.750
Si  0.062  0.431  0.250
Si  0.117  0.870  0.750
Si  0.130  0.247  0.750
Si  0.239  0.682  0.750
Si  0.247  0.117  0.250
Si  0.318  0.557  0.750
Si  0.369  0.938  0.250
Si  0.431  0.369  0.750
Si  0.443  0.761  0.750
Si  0.557  0.239  0.250
Si  0.569  0.631  0.250
Si  0.631  0.062  0.750
Si  0.682  0.443  0.250
Si  0.753  0.883  0.750
Si  0.761  0.318  0.250
Si  0.870  0.753  0.250
Si  0.883  0.130  0.250
Si  0.938  0.569  0.750

Values from the calculation:
Space group: P6_3/m (176)
Raw total energy: -371.8 eV for the cell shown

=====

[2]
# SmDy

Crystalline SmDy at its relaxed geometry (PBE-GGA, OQMD).

Lattice parameters (Å, degrees): 6.466 6.466 6.466 90.00 90.00 90.00
Positions (direct):
Sm  0.000  0.000  0.000
Sm  0.000  0.500  0.500
Sm  0.500  0.000  0.500
Sm  0.500  0.500  0.000
Dy  0.000  0.000  0.500
Dy  0.000  0.500  0.000
Dy  0.500  0.000  0.000
Dy  0.500  0.500  0.500

Values from the calculation:
Space group: Fm-3m (225)
Raw total energy: -31.5 eV for the cell shown
Offset from the most stable computed form: 1.40 eV per formula unit
E_form: 139 kJ/mol of formula units

=====

[3]
# Tc2SbW

Crystalline Tc2SbW at its relaxed geometry (PBE-GGA, OQMD).

Lattice parameters (Å, degrees): 6.388 6.388 6.388 90.00 90.00 90.00
Positions (direct):
Tc  0.000  0.000  0.000
Tc  0.000  0.500  0.500
Tc  0.250  0.250  0.250
Tc  0.250  0.750  0.750
Tc  0.500  0.000  0.500
Tc  0.500  0.500  0.000
Tc  0.750  0.250  0.750
Tc  0.750  0.750  0.250
Sb  0.000  0.000  0.500
Sb  0.000  0.500  0.000
Sb  0.500  0.000  0.000
Sb  0.500  0.500  0.500
W  0.250  0.250  0.750
W  0.250  0.750  0.250
W  0.750  0.250  0.250
W  0.750  0.750  0.750

Values from the calculation:
Space group: F-43m (216)
Raw total energy: -144.0 eV for the cell shown

=====

[4]
# DyZnNi

Crystalline DyZnNi at its relaxed geometry (PBE-GGA, OQMD).

Lattice parameters (Å, degrees): 4.690 4.690 5.720 90.00 90.00 120.00
Positions (direct):
Dy  0.333  0.667  0.250
Dy  0.667  0.333  0.750
Zn  0.333  0.667  0.750
Zn  0.667  0.333  0.250
Ni  0.000  0.000  0.000
Ni  0.000  0.000  0.500

Values from the calculation:
Space group: P6_3/mmc (194)
Raw total energy: -23.6 eV for the cell shown
E_form: -35 kJ/mol of formula units

=====

[5]
# DyBPb

Crystalline DyBPb at its relaxed geometry (PBE-GGA, OQMD).

Lattice parameters (Å, degrees): 6.712 6.712 6.712 90.00 90.00 90.00
Positions (direct):
Dy  0.000  0.000  0.000
Dy  0.000  0.500  0.500
Dy  0.500  0.000  0.500
Dy  0.500  0.500  0.000
B  0.250  0.250  0.750
B  0.250  0.750  0.250
B  0.750  0.250  0.250
B  0.750  0.750  0.750
Pb  0.250  0.250  0.250
Pb  0.250  0.750  0.750
Pb  0.750  0.250  0.750
Pb  0.750  0.750  0.250

Values from the calculation:
Space group: F-43m (216)
Raw total energy: -49.3 eV for the cell shown
Offset from the most stable computed form: 1.65 eV per formula unit

=====

[6]
# PrEr2Ni9

Crystalline PrEr2Ni9 at its relaxed geometry (PBE-GGA, OQMD).

Lattice parameters (Å, degrees): 8.569 8.569 8.569 33.83 33.83 33.83
Positions (direct):
Pr  0.000  0.000  0.000
Er  0.140  0.140  0.140
Er  0.860  0.860  0.860
Ni  0.082  0.585  0.585
Ni  0.333  0.333  0.333
Ni  0.415  0.415  0.918
Ni  0.415  0.918  0.415
Ni  0.500  0.500  0.500
Ni  0.585  0.082  0.585
Ni  0.585  0.585  0.082
Ni  0.667  0.667  0.667
Ni  0.918  0.415  0.415

Values from the calculation:
Space group: R-3m (166)
Raw total energy: -68.8 eV for the cell shown
E_form: -463 kJ/mol of formula units

=====

[7]
# LuMg2

Crystalline LuMg2 at its relaxed geometry (PBE-GGA, OQMD).

Lattice parameters (Å, degrees): 8.738 5.304 13.367 90.00 100.16 90.00
Positions (direct):
Lu  0.114  0.250  0.261
Lu  0.116  0.250  0.768
Lu  0.219  0.750  0.406
Lu  0.242  0.750  0.154
Lu  0.758  0.250  0.846
Lu  0.781  0.250  0.594
Lu  0.884  0.750  0.232
Lu  0.886  0.750  0.739
Mg  0.106  0.250  0.013
Mg  0.116  0.250  0.517
Mg  0.215  0.750  0.652
Mg  0.225  0.750  0.903
Mg  0.434  0.250  0.944
Mg  0.441  0.250  0.669
Mg  0.444  0.250  0.427
Mg  0.464  0.250  0.189
Mg  0.536  0.750  0.811
Mg  0.556  0.750  0.573
Mg  0.559  0.750  0.331
Mg  0.566  0.750  0.056
Mg  0.775  0.250  0.097
Mg  0.785  0.250  0.348
Mg  0.884  0.750  0.483
Mg  0.894  0.750  0.987

Values from the calculation:
Space group: P2_1/m (11)
Raw total energy: -60.8 eV for the cell shown

=====

[8]
# TeIr15

Crystalline TeIr15 at its relaxed geometry (PBE-GGA, OQMD).

Lattice parameters (Å, degrees): 5.433 2.755 43.418 90.00 90.39 90.00
Positions (direct):
Te  0.088  0.250  0.346
Te  0.912  0.750  0.654
Ir  0.095  0.250  0.708
Ir  0.117  0.250  0.800
Ir  0.121  0.250  0.889
Ir  0.124  0.250  0.978
Ir  0.127  0.250  0.067
Ir  0.130  0.250  0.245
Ir  0.132  0.250  0.155
Ir  0.359  0.750  0.756
Ir  0.369  0.750  0.845
Ir  0.373  0.750  0.934
Ir  0.376  0.750  0.022
Ir  0.380  0.750  0.111
Ir  0.383  0.750  0.200
Ir  0.397  0.750  0.285
Ir  0.419  0.750  0.669
Ir  0.581  0.250  0.331
Ir  0.603  0.250  0.715
Ir  0.617  0.250  0.800
Ir  0.620  0.250  0.889
Ir  0.624  0.250  0.978
Ir  0.627  0.250  0.066
Ir  0.631  0.250  0.155
Ir  0.641  0.250  0.244
Ir  0.868  0.750  0.845
Ir  0.870  0.750  0.755
Ir  0.873  0.750  0.933
Ir  0.876  0.750  0.022
Ir  0.879  0.750  0.111
Ir  0.883  0.750  0.200
Ir  0.905  0.750  0.292

Values from the calculation:
Space group: P2_1/m (11)
Raw total energy: -267.9 eV for the cell shown
Offset from the most stable computed form: 0.59 eV per formula unit